(1)
Density functional theory data (PBE-GGA) for a geometry-optimized Cr2CuCl structure.

```
Cr2CuCl
1.0
1.586 0.916 7.536
-1.586 0.916 7.536
0.000 -1.831 7.536
Cr Cu Cl
2 1 1
Direct
0.248 0.248 0.248
0.752 0.752 0.752
0.500 0.500 0.500
0.000 0.000 0.000
```

## Properties
- Electronic total energy: -5.859 eV per atom
- Distance to the lowest polymorph of the same formula: 0.260 eV/atom
- Formation energy (no corrections): 437.9 meV per atom

---

(2)
Density functional theory data (PBE-GGA) for a geometry-optimized CrCuCl4 structure.

```
CrCuCl4
1.0
0.000 4.125 4.125
4.125 0.000 4.125
4.125 4.125 0.000
Cr Cu Cl
1 1 4
Direct
0.000 0.000 0.000
0.750 0.750 0.750
0.375 0.375 0.375
0.375 0.375 0.874
0.375 0.874 0.375
0.874 0.375 0.375
```

## Properties
- Electronic total energy: -2.698 eV per atom
- Formation energy (no corrections): 819.7 meV per atom

---

(3)
Density functional theory data (PBE-GGA) for a geometry-optimized Cr2CuCl structure.

```
Cr2CuCl
1.0
-3.394 3.394 3.190
3.394 -3.394 3.190
3.394 3.394 -3.190
Cr Cu Cl
4 2 2
Direct
0.117 0.625 0.992
0.375 0.367 0.492
0.633 0.125 0.008
0.875 0.883 0.508
0.250 0.750 0.500
0.500 0.500 0.000
0.000 0.000 0.000
0.750 0.250 0.500
```

## Properties
- Electronic total energy: -5.602 eV per atom
- Distance to the lowest polymorph of the same formula: 0.517 eV/atom
- Formation energy (no corrections): 695.1 meV per atom

---

(4)
Density functional theory data (PBE-GGA) for a geometry-optimized CrCuCl2 structure.

```
CrCuCl2
1.0
-1.782 1.782 6.278
1.782 -1.782 6.278
1.782 1.782 -6.278
Cr Cu Cl
1 1 2
Direct
0.000 0.000 0.000
0.250 0.750 0.500
0.500 0.500 0.000
0.750 0.250 0.500
```

## Properties
- Electronic total energy: -4.429 eV per atom
- Distance to the lowest polymorph of the same formula: 0.243 eV/atom
- Formation energy (no corrections): -75.5 meV per atom

---

(5)
Density functional theory data (PBE-GGA) for a geometry-optimized Cr2Cu2Cl structure.

```
Cr2Cu2Cl
1.0
-1.680 1.680 7.557
1.680 -1.680 7.557
1.680 1.680 -7.557
Cr Cu Cl
2 2 1
Direct
0.113 0.113 0.000
0.887 0.887 0.000
0.250 0.750 0.500
0.750 0.250 0.500
0.500 0.500 0.000
```

## Properties
- Electronic total energy: -5.418 eV per atom
- Formation energy (no corrections): 438.6 meV per atom

---

(6)
Density functional theory data (PBE-GGA) for a geometry-optimized CrCuCl2 structure.

```
CrCuCl2
1.0
4.563 0.000 0.000
0.000 4.563 0.000
0.000 0.000 3.325
Cr Cu Cl
1 1 2
Direct
0.000 0.000 0.000
0.500 0.500 0.000
0.000 0.500 0.500
0.500 0.000 0.500
```

## Properties
- Electronic total energy: -4.295 eV per atom
- Distance to the lowest polymorph of the same formula: 0.377 eV/atom
- Formation energy (no corrections): 58.3 meV per atom

---

(7)
Density functional theory data (PBE-GGA) for a geometry-optimized CrCuCl2 structure.

```
CrCuCl2
1.0
5.840 -1.709 0.000
5.840 1.709 0.000
-0.013 0.000 4.196
Cr Cu Cl
1 1 2
Direct
0.000 0.000 0.000
0.314 0.314 0.126
0.452 0.452 0.506
0.687 0.687 0.984
```

## Properties
- Electronic total energy: -4.514 eV per atom
- Distance to the lowest polymorph of the same formula: 0.157 eV/atom
- Formation energy (no corrections): -161.2 meV per atom

---

(8)
Density functional theory data (PBE-GGA) for a geometry-optimized CrCu2Cl2 structure.

```
CrCu2Cl2
1.0
-1.641 1.641 9.609
1.641 -1.641 9.609
1.641 1.641 -9.609
Cr Cu Cl
1 2 2
Direct
0.000 0.000 0.000
0.250 0.750 0.500
0.750 0.250 0.500
0.422 0.422 0.000
0.578 0.578 0.000
```

## Properties
- Electronic total energy: -4.182 eV per atom
- Distance to the lowest polymorph of the same formula: 0.000 eV/atom
- Formation energy (no corrections): 120.1 meV per atom

---

(9)
Density functional theory data (PBE-GGA) for a geometry-optimized Cr2CuCl structure.

```
Cr2CuCl
1.0
2.203 -2.219 0.000
2.203 2.219 0.000
0.000 0.000 6.767
Cr Cu Cl
2 1 1
Direct
0.000 0.000 0.222
0.000 0.000 0.778
0.500 0.500 0.000
0.500 0.500 0.500
```

## Properties
- Electronic total energy: -5.866 eV per atom
- Distance to the lowest polymorph of the same formula: 0.253 eV/atom
- Formation energy (no corrections): 430.9 meV per atom

---

(10)
Density functional theory data (PBE-GGA) for a geometry-optimized CrCuCl2 structure.

```
CrCuCl2
1.0
-1.756 3.249 3.591
1.756 -3.249 3.591
1.756 3.249 -3.591
Cr Cu Cl
1 1 2
Direct
0.000 0.000 0.000
0.500 0.500 0.000
0.261 0.761 0.500
0.739 0.239 0.500
```

## Properties
- Electronic total energy: -4.429 eV per atom
- Distance to the lowest polymorph of the same formula: 0.243 eV/atom
- Formation energy (no corrections): -75.6 meV per atom

---

(11)
Density functional theory data (PBE-GGA) for a geometry-optimized Cr2CuCl structure.

```
Cr2CuCl
1.0
3.276 0.000 0.000
0.000 3.938 0.000
0.000 0.000 5.548
Cr Cu Cl
2 1 1
Direct
0.000 0.000 0.000
0.500 0.000 0.500
0.000 0.500 0.500
0.500 0.500 0.000
```

## Properties
- Electronic total energy: -5.602 eV per atom
- Distance to the lowest polymorph of the same formula: 0.518 eV/atom
- Formation energy (no corrections): 695.7 meV per atom

---

(12)
Density functional theory data (PBE-GGA) for a geometry-optimized CrCuCl2 structure.

```
CrCuCl2
1.0
3.520 0.000 0.000
0.000 3.599 0.000
0.000 0.000 6.260
Cr Cu Cl
1 1 2
Direct
0.000 0.000 0.000
0.500 0.000 0.500
0.000 0.500 0.500
0.500 0.500 0.000
```

## Properties
- Electronic total energy: -4.429 eV per atom
- Distance to the lowest polymorph of the same formula: 0.242 eV/atom
- Formation energy (no corrections): -76.0 meV per atom